A relaxed Cs2Ac2CrO6 crystal, computed with GGA+U.

Output
SG   No. 12
Crystal system   monoclinic
Size of the total moment   2.0 μB/f.u.
Uncorrected energy   -6.463 eV per atom

Cell: 6.1748 6.1748 7.2247 Å, 96.99 96.99 118.69°
With the nearest neighbours (Å) after each atom.
Element x y z (fractional)
Cs: 0.1622 0.8378 0.0000  4 O 3.01-3.05
Cs: 0.8378 0.1622 0.0000  4 O 3.01-3.05
Ac: 0.3357 0.6643 0.5000  6 O 2.50-2.53
Ac: 0.6643 0.3357 0.5000  6 O 2.50-2.53
Cr: 0.0000 0.0000 0.5000  6 O 2.00-2.11
O: 0.0396 0.3159 0.6502  1 Cr 2.00
O: 0.2353 0.2353 0.3349  1 Cr 2.11
O: 0.3159 0.0396 0.6502  1 Cr 2.00
O: 0.6841 0.9604 0.3498  1 Cr 2.00
O: 0.7647 0.7647 0.6651  1 Cr 2.11
O: 0.9604 0.6841 0.3498  1 Cr 2.00